a:
A plane-wave DFT calculation with GGA-PBE was carried out for PrCuPd4 after structural relaxation.

Cell: 5.3672 5.3672 5.3672 Å, 60.00 60.00 60.00°
With the nearest neighbours (Å) after each atom.
Element x y z (fractional)
Pr 0.0000 0.0000 0.0000  12 Pd 3.15, 4 Cu 3.29
Cu 0.7500 0.7500 0.7500  12 Pd 3.15, 4 Pr 3.29
Pd 0.3756 0.3756 0.3756  6 Pd 2.67-2.70
Pd 0.3756 0.3756 0.8733  6 Pd 2.67-2.70
Pd 0.3756 0.8733 0.3756  6 Pd 2.67-2.70
Pd 0.8733 0.3756 0.3756  6 Pd 2.67-2.70

The value obtained for the volume is 18.222 Å³/atom. Its total magnetic moment is 0.0 μB per formula unit. As for the space group: F-43m, No. 216.

=====

b:
A plane-wave DFT calculation with GGA-PBE was carried out for PrCuPd4 after structural relaxation.

Cell: 7.5335 4.1075 6.9272 Å, 90.00 90.00 90.00°
With the nearest neighbours (Å) after each atom.
Element x y z (fractional)
Pr 0.2500 0.0000 0.1445  1 Cu 2.86, 8 Pd 3.01-3.10
Pr 0.7500 0.0000 0.8555  1 Cu 2.86, 8 Pd 3.01-3.10
Cu 0.2500 0.0000 0.7316  6 Pd 2.47-2.59
Cu 0.7500 0.0000 0.2684  6 Pd 2.47-2.59
Pd 0.0000 0.0000 0.5000  2 Cu 2.47
Pd 0.0524 0.5000 0.8073  2 Cu 2.59, 2 Pd 2.78-2.82
Pd 0.2500 0.5000 0.4621  2 Cu 2.78, 8 Pd 2.80-2.94, 2 Pr 3.01
Pd 0.4476 0.5000 0.8073  2 Cu 2.59, 2 Pd 2.78-2.82
Pd 0.5000 0.0000 0.5000  2 Cu 2.47
Pd 0.5524 0.5000 0.1927  2 Cu 2.59, 2 Pd 2.78-2.82
Pd 0.7500 0.5000 0.5379  2 Cu 2.78, 8 Pd 2.80-2.94, 2 Pr 3.01
Pd 0.9476 0.5000 0.1927  2 Cu 2.59, 2 Pd 2.78-2.82

The value obtained for the volume is 17.863 Å³/atom. Its total magnetic moment is 0.0 μB per formula unit. As for the space group: Pmma, No. 51.

=====

Stability verdict: b, ahead by 27 meV/atom